Entry from Alexandria via LeMat-Bulk: a relaxed structure of Li2CrH (PBE).

Geometry as CIF:
```
data_Li2CrH
_chemical_formula_sum 'Li8 Cr4 H4'
_symmetry_space_group_name_H-M 'F m -3 m'
_symmetry_Int_Tables_number 225
_symmetry_space_group_name_Hall '-F 4 2 3'
_cell_length_a 5.8003
_cell_length_b 5.8003
_cell_length_c 5.8003
_cell_angle_alpha 90.00
_cell_angle_beta 90.00
_cell_angle_gamma 90.00
loop_
_atom_site_label
_atom_site_fract_x
_atom_site_fract_y
_atom_site_fract_z
Li1 0.2500 0.2500 0.2500
Cr1 0.0000 0.0000 0.0000
H1 0.0000 0.0000 0.5000
```

=====

Entry from Alexandria via LeMat-Bulk: a relaxed structure of Li3CrH6 (PBE).

Geometry as CIF:
```
data_Li3CrH6
_chemical_formula_sum 'Li18 Cr6 H36'
_symmetry_space_group_name_H-M 'R -3 c'
_symmetry_Int_Tables_number 167
_symmetry_space_group_name_Hall '-R 3 2"c'
_cell_length_a 7.9782
_cell_length_b 7.9782
_cell_length_c 9.4891
_cell_angle_alpha 90.00
_cell_angle_beta 90.00
_cell_angle_gamma 120.00
loop_
_atom_site_label
_atom_site_fract_x
_atom_site_fract_y
_atom_site_fract_z
Li1 0.0000 0.3138 0.2500
Cr1 0.0000 0.0000 0.0000
H1 0.0556 0.2040 0.4064
```

=====

Entry from Alexandria via LeMat-Bulk: a relaxed structure of LiCr3H (PBE).

Geometry as CIF:
```
data_LiCr3H
_chemical_formula_sum 'Li1 Cr3 H1'
_symmetry_space_group_name_H-M 'P m -3 m'
_symmetry_Int_Tables_number 221
_symmetry_space_group_name_Hall '-P 4 2 3'
_cell_length_a 3.6514
_cell_length_b 3.6514
_cell_length_c 3.6514
_cell_angle_alpha 90.00
_cell_angle_beta 90.00
_cell_angle_gamma 90.00
loop_
_atom_site_label
_atom_site_fract_x
_atom_site_fract_y
_atom_site_fract_z
Li1 0.0000 0.0000 0.0000
Cr1 0.0000 0.5000 0.5000
H1 0.5000 0.5000 0.5000
```

=====

Entry from Alexandria via LeMat-Bulk: a relaxed structure of Li2CrH4 (PBE).

Geometry as CIF:
```
data_Li2CrH4
_chemical_formula_sum 'Li16 Cr8 H32'
_symmetry_space_group_name_H-M 'I 41/a c d'
_symmetry_Int_Tables_number 142
_cell_length_a 4.5513
_cell_length_b 4.5513
_cell_length_c 20.9971
_cell_angle_alpha 90.00
_cell_angle_beta 90.00
_cell_angle_gamma 90.00
loop_
_symmetry_equiv_pos_as_xyz
'x,y,z'
'-x,-y,-z'
'-y+1/4,x+3/4,z+1/4'
'y+1/4,-x+3/4,-z+1/4'
'-x+1/2,-y,z+1/2'
'x+1/2,y,-z+1/2'
'y+1/4,-x+1/4,z+3/4'
'-y+1/4,x+1/4,-z+3/4'
'x,-y,-z+1/2'
'-x,y,z+1/2'
'-y+1/4,-x+1/4,-z+1/4'
'y+1/4,x+1/4,z+1/4'
'-x+1/2,y,-z'
'x+1/2,-y,z'
'y+1/4,x+3/4,-z+3/4'
'-y+1/4,-x+3/4,z+3/4'
'x+1/2,y+1/2,z+1/2'
'-x+1/2,-y+1/2,-z+1/2'
'-y+3/4,x+1/4,z+3/4'
'y+3/4,-x+1/4,-z+3/4'
'-x,-y+1/2,z'
'x,y+1/2,-z'
'y+3/4,-x+3/4,z+1/4'
'-y+3/4,x+3/4,-z+1/4'
'x+1/2,-y+1/2,-z'
'-x+1/2,y+1/2,z'
'-y+3/4,-x+3/4,-z+3/4'
'y+3/4,x+3/4,z+3/4'
'-x,y+1/2,-z+1/2'
'x,-y+1/2,z+1/2'
'y+3/4,x+1/4,-z+1/4'
'-y+3/4,-x+1/4,z+1/4'
loop_
_atom_site_label
_atom_site_fract_x
_atom_site_fract_y
_atom_site_fract_z
Li1 0.0000 0.2500 0.0471
Cr1 0.0000 0.2500 0.3750
H1 0.0000 0.2500 0.2924
H2 0.1690 0.0810 0.1250
```

=====

Entry from Alexandria via LeMat-Bulk: a relaxed structure of Li2CrH4 (PBE).

Geometry as CIF:
```
data_Li2CrH4
_chemical_formula_sum 'Li4 Cr2 H8'
_symmetry_space_group_name_H-M 'I 4/m m m'
_symmetry_Int_Tables_number 139
_symmetry_space_group_name_Hall '-I 4 2'
_cell_length_a 3.3919
_cell_length_b 3.3919
_cell_length_c 10.1977
_cell_angle_alpha 90.00
_cell_angle_beta 90.00
_cell_angle_gamma 90.00
loop_
_atom_site_label
_atom_site_fract_x
_atom_site_fract_y
_atom_site_fract_z
Li1 0.0000 0.0000 0.1490
Cr1 0.0000 0.0000 0.5000
H1 0.0000 0.0000 0.3310
H2 0.0000 0.5000 0.0000
```

=====

Entry from Alexandria via LeMat-Bulk: a relaxed structure of Li2MgCrH8 (PBE).

Geometry as CIF:
```
data_Li2MgCrH8
_chemical_formula_sum 'Li2 Mg1 Cr1 H8'
_symmetry_space_group_name_H-M 'P m m m'
_symmetry_Int_Tables_number 47
_cell_length_a 3.0105
_cell_length_b 4.6928
_cell_length_c 6.2775
_cell_angle_alpha 90.00
_cell_angle_beta 90.00
_cell_angle_gamma 90.00
loop_
_symmetry_equiv_pos_as_xyz
'x,y,z'
'-x,-y,-z'
'-x,-y,z'
'x,y,-z'
'x,-y,-z'
'-x,y,z'
'-x,y,-z'
'x,-y,z'
loop_
_atom_site_label
_atom_site_fract_x
_atom_site_fract_y
_atom_site_fract_z
Li1 0.0000 0.0000 0.2455
Mg1 0.5000 0.5000 0.0000
Cr1 0.5000 0.5000 0.5000
H1 0.0000 0.2442 0.0000
H2 0.0000 0.3038 0.5000
H3 0.5000 0.2649 0.2950
```

=====

Entry from Alexandria via LeMat-Bulk: a relaxed structure of Li2MgCrH6 (PBE).

Geometry as CIF:
```
data_Li2MgCrH6
_chemical_formula_sum 'Li4 Mg2 Cr2 H12'
_symmetry_space_group_name_H-M 'P 1 21/c 1'
_symmetry_Int_Tables_number 14
_cell_length_a 4.7910
_cell_length_b 4.9312
_cell_length_c 8.2628
_cell_angle_alpha 90.00
_cell_angle_beta 124.43
_cell_angle_gamma 90.00
loop_
_symmetry_equiv_pos_as_xyz
'x,y,z'
'-x,-y,-z'
'-x,y+1/2,-z+1/2'
'x,-y+1/2,z+1/2'
loop_
_atom_site_label
_atom_site_fract_x
_atom_site_fract_y
_atom_site_fract_z
Li1 0.2336 0.0354 0.2434
Mg1 0.0000 0.0000 0.5000
Cr1 0.5000 0.0000 0.0000
H1 0.1538 0.1775 0.9494
H2 0.2424 0.7201 0.9222
H3 0.3911 0.0782 0.7678
```

=====

Entry from Alexandria via LeMat-Bulk: a relaxed structure of NaLiCrH6 (PBE).

Geometry as CIF:
```
data_NaLiCrH6
_chemical_formula_sum 'Na2 Li2 Cr2 H12'
_symmetry_space_group_name_H-M 'P 63/m m c'
_symmetry_Int_Tables_number 194
_symmetry_space_group_name_Hall '-P 6c 2c'
_cell_length_a 4.6660
_cell_length_b 4.6660
_cell_length_c 9.4266
_cell_angle_alpha 90.00
_cell_angle_beta 90.00
_cell_angle_gamma 120.00
loop_
_atom_site_label
_atom_site_fract_x
_atom_site_fract_y
_atom_site_fract_z
Na1 0.0000 0.0000 0.0000
Li1 0.3333 0.6667 0.2500
Cr1 0.3333 0.6667 0.7500
H1 0.0296 0.5148 0.6326
```

=====

Entry from Alexandria via LeMat-Bulk: a relaxed structure of NaLi2CrH5 (PBE).

Geometry as CIF:
```
data_NaLi2CrH5
_chemical_formula_sum 'Na2 Li4 Cr2 H10'
_symmetry_space_group_name_H-M 'I m m m'
_symmetry_Int_Tables_number 71
_symmetry_space_group_name_Hall '-I 2 2'
_cell_length_a 3.4355
_cell_length_b 5.0637
_cell_length_c 9.4429
_cell_angle_alpha 90.00
_cell_angle_beta 90.00
_cell_angle_gamma 90.00
loop_
_atom_site_label
_atom_site_fract_x
_atom_site_fract_y
_atom_site_fract_z
Na1 0.0000 0.0000 0.0000
Li1 0.0000 0.5000 0.2184
Cr1 0.0000 0.0000 0.5000
H1 0.0000 0.2294 0.3625
H2 0.0000 0.5000 0.0000
```

=====

Entry from Alexandria via LeMat-Bulk: a relaxed structure of NaLi2CrH6 (PBE).

Geometry as CIF:
```
data_NaLi2CrH6
_chemical_formula_sum 'Na2 Li4 Cr2 H12'
_symmetry_space_group_name_H-M 'P 1 21/c 1'
_symmetry_Int_Tables_number 14
_cell_length_a 4.9053
_cell_length_b 5.1469
_cell_length_c 8.7861
_cell_angle_alpha 90.00
_cell_angle_beta 123.77
_cell_angle_gamma 90.00
loop_
_symmetry_equiv_pos_as_xyz
'x,y,z'
'-x,-y,-z'
'-x,y+1/2,-z+1/2'
'x,-y+1/2,z+1/2'
loop_
_atom_site_label
_atom_site_fract_x
_atom_site_fract_y
_atom_site_fract_z
Na1 0.0000 0.0000 0.0000
Li1 0.2118 0.0120 0.7130
Cr1 0.5000 0.0000 0.5000
H1 0.1839 0.1495 0.4893
H2 0.2050 0.7231 0.8537
H3 0.4621 0.1709 0.3198
```

=====

Entry from Alexandria via LeMat-Bulk: a relaxed structure of Li2CrNiH6 (PBE).

Geometry as CIF:
```
data_Li2CrNiH6
_chemical_formula_sum 'Li4 Cr2 Ni2 H12'
_symmetry_space_group_name_H-M 'P 1 21/c 1'
_symmetry_Int_Tables_number 14
_cell_length_a 4.7072
_cell_length_b 4.7431
_cell_length_c 8.1582
_cell_angle_alpha 90.00
_cell_angle_beta 125.19
_cell_angle_gamma 90.00
loop_
_symmetry_equiv_pos_as_xyz
'x,y,z'
'-x,-y,-z'
'-x,y+1/2,-z+1/2'
'x,-y+1/2,z+1/2'
loop_
_atom_site_label
_atom_site_fract_x
_atom_site_fract_y
_atom_site_fract_z
Li1 0.2446 0.0242 0.2493
Cr1 0.5000 0.0000 0.0000
Ni1 0.0000 0.0000 0.5000
H1 0.1558 0.2156 0.9557
H2 0.2410 0.7029 0.9580
H3 0.3264 0.0266 0.7422
```

=====

What are the energy values for these records? In order: -0.106, -0.139, -0.236, -0.147, -0.147, -0.133, -0.135, -0.133, -0.136, -0.135, -0.149 Ha/atom.